# Tb3VN4 | the Alexandria database | PBE | optimized geometry
# M_tot   2.20 μB per cell
# Volume   15.81 Å³/atom
# Symmetry   Pmn2_1, No. 31
# Formation energy without anion corrections   -10.465 eV per formula unit
# DFT total energy   -133.551 eV/cell
data_Tb3VN4
_chemical_formula_sum 'Tb6 V2 N8'
_space_group_name_H-M_alt 'P 1'
_space_group_IT_number 1
_cell_length_a 7.6279
_cell_length_b 6.6472
_cell_length_c 4.9902
_cell_angle_alpha 90.00
_cell_angle_beta 90.00
_cell_angle_gamma 90.00
loop_
_space_group_symop_operation_xyz
'x,y,z'
loop_
_atom_site_label
_atom_site_fract_x
_atom_site_fract_y
_atom_site_fract_z
Tb1 0.0000 0.1483 0.0000
Tb2 0.2467 0.3320 0.5016
Tb3 0.2533 0.6680 0.0016
Tb4 0.5000 0.8517 0.5000
Tb5 0.7467 0.6680 0.0016
Tb6 0.7533 0.3320 0.5016
V1 0.0000 0.8245 0.4521
V2 0.5000 0.1755 0.9521
N1 0.0000 0.1162 0.4950
N2 0.0000 0.8206 0.0699
N3 0.2233 0.6910 0.4993
N4 0.2767 0.3090 0.9993
N5 0.5000 0.1794 0.5699
N6 0.5000 0.8838 0.9950
N7 0.7233 0.3090 0.9993
N8 0.7767 0.6910 0.4993

---

# Tb2VN | the Alexandria database | PBE | optimized geometry
# M_tot   7.05 μB per cell
# Volume   21.07 Å³/atom
# Symmetry   R-3m, No. 166
# Formation energy without anion corrections   -0.842 eV per formula unit
# DFT total energy   -82.640 eV/cell
data_Tb2VN
_chemical_formula_sum 'Tb6 V3 N3'
_space_group_name_H-M_alt 'P 1'
_space_group_IT_number 1
_cell_length_a 3.3603
_cell_length_b 3.3603
_cell_length_c 25.8619
_cell_angle_alpha 90.00
_cell_angle_beta 90.00
_cell_angle_gamma 120.00
loop_
_space_group_symop_operation_xyz
'x,y,z'
loop_
_atom_site_label
_atom_site_fract_x
_atom_site_fract_y
_atom_site_fract_z
Tb1 0.0000 0.0000 0.1133
Tb2 0.0000 0.0000 0.8867
Tb3 0.3333 0.6667 0.5533
Tb4 0.3333 0.6667 0.7800
Tb5 0.6667 0.3333 0.2200
Tb6 0.6667 0.3333 0.4467
V1 0.0000 0.0000 0.0000
V2 0.3333 0.6667 0.6667
V3 0.6667 0.3333 0.3333
N1 0.0000 0.0000 0.5000
N2 0.3333 0.6667 0.1667
N3 0.6667 0.3333 0.8333

---

# Tb2V2N5 | the Alexandria database | PBE | optimized geometry
# M_tot   1.07 μB per cell
# Volume   12.47 Å³/atom
# Symmetry   Ima2, No. 46
# Formation energy without anion corrections   -11.155 eV per formula unit
# DFT total energy   -160.559 eV/cell
data_Tb2V2N5
_chemical_formula_sum 'Tb4 V4 N10'
_space_group_name_H-M_alt 'P 1'
_space_group_IT_number 1
_cell_length_a 8.4026
_cell_length_b 8.4026
_cell_length_c 8.4026
_cell_angle_alpha 55.06
_cell_angle_beta 140.84
_cell_angle_gamma 142.88
loop_
_space_group_symop_operation_xyz
'x,y,z'
loop_
_atom_site_label
_atom_site_fract_x
_atom_site_fract_y
_atom_site_fract_z
Tb1 0.0259 0.1072 0.1331
Tb2 0.0259 0.3928 0.4187
Tb3 0.9741 0.6072 0.5813
Tb4 0.9741 0.8928 0.8669
V1 0.3698 0.6977 0.1721
V2 0.5041 0.0041 0.5000
V3 0.5041 0.5041 0.0000
V4 0.5256 0.1977 0.8279
N1 0.2280 0.8517 0.8762
N2 0.4459 0.1559 0.5802
N3 0.4459 0.3657 0.7900
N4 0.4939 0.2359 0.2372
N5 0.4939 0.7567 0.7580
N6 0.5757 0.6559 0.2100
N7 0.5757 0.8657 0.4198
N8 0.9755 0.3517 0.1238
N9 0.9987 0.2567 0.7628
N10 0.9987 0.7359 0.2420

---

> What is the volume in the first record?

15.81 Å³/atom

---

> The lowest M_tot belongs to which entry?

Tb2V2N5

---

> Which of these has the highest formation energy without anion corrections?

Tb2VN

---

Copy entry 3 word for word.
# Tb2V2N5 | the Alexandria database | PBE | optimized geometry
# M_tot   1.07 μB per cell
# Volume   12.47 Å³/atom
# Symmetry   Ima2, No. 46
# Formation energy without anion corrections   -11.155 eV per formula unit
# DFT total energy   -160.559 eV/cell
data_Tb2V2N5
_chemical_formula_sum 'Tb4 V4 N10'
_space_group_name_H-M_alt 'P 1'
_space_group_IT_number 1
_cell_length_a 8.4026
_cell_length_b 8.4026
_cell_length_c 8.4026
_cell_angle_alpha 55.06
_cell_angle_beta 140.84
_cell_angle_gamma 142.88
loop_
_space_group_symop_operation_xyz
'x,y,z'
loop_
_atom_site_label
_atom_site_fract_x
_atom_site_fract_y
_atom_site_fract_z
Tb1 0.0259 0.1072 0.1331
Tb2 0.0259 0.3928 0.4187
Tb3 0.9741 0.6072 0.5813
Tb4 0.9741 0.8928 0.8669
V1 0.3698 0.6977 0.1721
V2 0.5041 0.0041 0.5000
V3 0.5041 0.5041 0.0000
V4 0.5256 0.1977 0.8279
N1 0.2280 0.8517 0.8762
N2 0.4459 0.1559 0.5802
N3 0.4459 0.3657 0.7900
N4 0.4939 0.2359 0.2372
N5 0.4939 0.7567 0.7580
N6 0.5757 0.6559 0.2100
N7 0.5757 0.8657 0.4198
N8 0.9755 0.3517 0.1238
N9 0.9987 0.2567 0.7628
N10 0.9987 0.7359 0.2420